Entry 1:
{
  "formula": "Ta2AlTl",
  "functional": "PBE",
  "state": "optimized geometry",
  "lattice": [[5.072, 0.000, 0.000], [0.000, 5.072, 0.000], [0.000, 0.000, 2.917]],
  "species": ["Tl", "Al", "Ta", "Ta"],
  "frac_coords": [[0.500, 0.000, 0.500], [0.000, 0.500, 0.500], [0.000, 0.000, 0.000], [0.500, 0.500, 0.000]],
  "formation_enthalpy_0k_ev_per_atom": 0.46,
  "final_energy_ev_per_cell": -27.99
}

=====

Entry 2:
{
  "formula": "La4Tb3CeTe8",
  "functional": "PBE",
  "state": "optimized geometry",
  "lattice": [[8.967, 0.000, 0.000], [0.000, 9.006, 0.021], [-4.484, -4.479, 6.344]],
  "species": ["La", "La", "La", "La", "Tb", "Tb", "Tb", "Ce", "Te", "Te", "Te", "Te", "Te", "Te", "Te", "Te"],
  "frac_coords": [[0.500, 0.000, 0.000], [0.500, 0.000, 0.500], [0.000, 0.000, 0.000], [0.000, 0.000, 0.500], [0.500, 0.500, 0.000], [0.500, 0.500, 0.500], [0.000, 0.500, 0.500], [0.000, 0.500, 0.000], [0.248, 0.738, 0.990], [0.248, 0.738, 0.496], [0.255, 0.265, 0.510], [0.742, 0.738, 0.990], [0.258, 0.262, 0.010], [0.745, 0.735, 0.490], [0.752, 0.262, 0.504], [0.752, 0.262, 0.010]],
  "final_energy_ev_per_cell": -88.05,
  "e_form_raw_ev_per_atom": -1.461
}

=====

Entry 3:
{
  "formula": "Er2Pd8Pb",
  "functional": "PBE",
  "state": "optimized geometry",
  "lattice": [[-0.100, -3.926, -1.480], [4.311, -1.853, 4.624], [-6.657, 1.010, 3.724]],
  "species": ["Er", "Er", "Pd", "Pd", "Pd", "Pd", "Pd", "Pd", "Pd", "Pd", "Pb"],
  "frac_coords": [[0.784, 0.334, 0.568], [0.216, 0.666, 0.432], [0.407, 0.547, 0.815], [0.673, 0.908, 0.347], [0.851, 0.804, 0.703], [0.963, 0.278, 0.926], [0.149, 0.196, 0.297], [0.327, 0.092, 0.653], [0.593, 0.453, 0.185], [0.037, 0.722, 0.074], [0.500, 0.000, 0.000]],
  "formation_enthalpy_0k_ev_per_atom": -0.59,
  "final_energy_ev_per_cell": -60.85
}

=====

Entry 4:
{
  "formula": "ScBr2",
  "functional": "PBE",
  "state": "optimized geometry",
  "lattice": [[-1.870, -7.471, 0.624], [4.803, -1.688, -5.813], [2.602, 3.860, 6.166]],
  "species": ["Sc", "Sc", "Sc", "Sc", "Br", "Br", "Br", "Br", "Br", "Br", "Br", "Br"],
  "frac_coords": [[0.014, 0.736, 0.028], [0.458, 0.736, 0.472], [0.014, 0.736, 0.472], [0.014, 0.292, 0.028], [0.236, 0.995, 0.990], [0.755, 0.995, 0.509], [0.755, 0.514, 0.509], [0.755, 0.995, 0.990], [0.258, 0.492, 0.517], [0.725, 0.491, 0.983], [0.258, 0.491, 0.983], [0.258, 0.025, 0.517]],
  "final_energy_ev_per_cell": -56.95,
  "e_form_raw_ev_per_atom": -1.520
}

=====

Entry 5:
{
  "formula": "TaCd3Ru",
  "functional": "PBE",
  "state": "optimized geometry",
  "lattice": [[5.310, 0.000, 0.000], [0.000, 5.310, 0.000], [0.000, 0.000, 5.310]],
  "species": ["Ru", "Cd", "Cd", "Cd", "Ta"],
  "frac_coords": [[0.500, 0.500, 0.500], [0.000, 0.500, 0.000], [0.000, 0.000, 0.500], [0.500, 0.000, 0.000], [0.000, 0.000, 0.000]],
  "formation_enthalpy_0k_ev_per_atom": 1.90,
  "final_energy_ev_per_cell": -14.39
}

=====

Entry 6:
{
  "formula": "Ca2YAl",
  "functional": "PBE",
  "state": "optimized geometry",
  "lattice": [[-3.134, -6.053, -0.620], [-1.829, -5.199, -4.057], [3.468, -4.433, 0.215]],
  "species": ["Y", "Ca", "Ca", "Al"],
  "frac_coords": [[0.455, 0.455, 0.545], [0.040, 0.040, 0.960], [0.249, 0.249, 0.251], [0.755, 0.755, 0.745]],
  "formation_enthalpy_0k_ev_per_atom": -0.05,
  "final_energy_ev_per_cell": -14.40
}